1 | CaFe2O4: optimized geometry, PBE with a Hubbard U.

Values from the calculation:
- Symmetry: No. 141
- Volume: 87.8 Å³/f.u.

a b c (Å): 6.288 6.279 6.279
angles (deg): 90.03 119.93 119.94
Atoms (fractional coordinates):
O 0.536 0.268 0.733
O 0.036 0.302 0.268
O 0.464 0.732 0.698
O 0.464 0.732 0.267
O 0.536 0.268 0.302
O 0.964 0.267 0.732
O 0.964 0.698 0.732
O 0.036 0.733 0.268
Fe 0.000 0.500 0.000
Fe 0.500 0.500 0.500
Fe 0.000 0.500 0.500
Fe 0.500 0.000 0.500
Ca 0.750 0.875 0.125
Ca 0.250 0.125 0.875

---

2 | CaFe2O4: optimized geometry, PBE with a Hubbard U.

Values from the calculation:
- Symmetry: No. 43
- Volume: 95.1 Å³/f.u.

a b c (Å): 6.621 6.299 6.301
angles (deg): 73.97 58.30 58.30
Atoms (fractional coordinates):
O 0.588 0.741 0.821
O 0.671 0.178 0.741
O 0.159 0.241 0.679
O 0.163 0.678 0.759
O 0.600 0.322 0.241
O 0.079 0.759 0.321
O 0.591 0.822 0.259
O 0.150 0.259 0.179
Fe 0.375 0.171 0.329
Fe 0.875 0.829 0.671
Fe 0.296 0.329 0.829
Fe 0.454 0.671 0.171
Ca 0.999 0.000 0.000
Ca 0.749 0.500 0.500

---

It is 2 that is the least stable of them.

---

1 | Ca2FeO2: optimized geometry, PBE with a Hubbard U.

Values from the calculation:
- Symmetry: No. 127
- Volume: 73.5 Å³/f.u.

a b c (Å): 7.013 7.013 2.990
angles (deg): 90.00 90.00 90.00
Atoms (fractional coordinates):
Ca 0.852 0.648 0.000
Ca 0.648 0.148 0.000
Ca 0.148 0.352 0.000
Ca 0.352 0.852 0.000
O 0.845 0.345 0.500
O 0.155 0.655 0.500
O 0.345 0.155 0.500
O 0.655 0.845 0.500
Fe 0.000 0.000 0.000
Fe 0.500 0.500 0.000

---

2 | Ca2FeO2: optimized geometry, PBE with a Hubbard U.

Values from the calculation:
- Symmetry: No. 139
- Volume: 104.7 Å³/f.u.

a b c (Å): 4.308 4.308 6.414
angles (deg): 70.38 70.38 90.00
Atoms (fractional coordinates):
Fe 0.000 0.000 0.000
Ca 0.687 0.687 0.627
Ca 0.313 0.313 0.373
O 0.750 0.250 0.500
O 0.250 0.750 0.500

---

It is 1 that is the least stable of them.

---

1 | CaFe4P4O16: optimized geometry, PBE with a Hubbard U.

Values from the calculation:
- Symmetry: No. 1
- Volume: 412.0 Å³/f.u.

a b c (Å): 5.508 8.678 8.886
angles (deg): 92.16 93.25 103.41
Atoms (fractional coordinates):
O 0.129 0.787 0.943
O 0.619 0.251 0.637
O 0.773 0.016 0.415
O 0.287 0.996 0.605
O 0.159 0.655 0.684
O 0.435 0.210 0.159
O 0.684 0.475 0.095
O 0.925 0.762 0.387
O 0.858 0.224 0.068
O 0.685 0.848 0.171
O 0.167 0.261 0.598
O 0.466 0.750 0.404
O 0.827 0.352 0.327
O 0.202 0.510 0.919
O 0.329 0.166 0.843
O 0.543 0.758 0.867
P 0.706 0.319 0.164
P 0.713 0.845 0.345
P 0.348 0.169 0.671
P 0.261 0.673 0.853
Fe 0.849 0.226 0.494
Fe 0.218 0.312 0.009
Fe 0.797 0.688 0.021
Fe 0.210 0.788 0.522
Ca 0.504 0.997 0.001

---

2 | CaFe4P4O16: optimized geometry, PBE with a Hubbard U.

Values from the calculation:
- Symmetry: No. 1
- Volume: 390.0 Å³/f.u.

a b c (Å): 5.244 8.751 8.881
angles (deg): 90.55 89.01 73.19
Atoms (fractional coordinates):
Fe 0.543 0.187 0.500
Fe 0.934 0.327 0.992
Fe 0.081 0.675 0.005
Fe 0.470 0.814 0.498
O 0.776 0.821 0.166
O 0.785 0.692 0.606
O 0.175 0.814 0.623
O 0.863 0.838 0.846
O 0.240 0.180 0.831
O 0.150 0.164 0.151
O 0.334 0.024 0.393
O 0.508 0.326 0.670
O 0.639 0.237 0.937
O 0.376 0.765 0.060
O 0.209 0.460 0.895
O 0.838 0.186 0.374
O 0.806 0.542 0.102
O 0.679 0.977 0.603
O 0.227 0.309 0.392
O 0.508 0.675 0.327
P 0.401 0.303 0.829
P 0.887 0.827 0.673
P 0.614 0.698 0.168
P 0.125 0.174 0.325
Ca 0.507 0.001 0.999

---

It is 2 that is the least stable of them.

---

1 | CaFeP2O: optimized geometry, PBE with a Hubbard U.

Values from the calculation:
- Symmetry: No. 123
- Volume: 116.4 Å³/f.u.

a b c (Å): 5.268 5.268 4.192
angles (deg): 90.00 90.00 90.00
Atoms (fractional coordinates):
Fe 0.500 0.500 0.500
P 0.500 0.000 0.000
P 0.000 0.500 0.000
Ca 0.000 0.000 0.000
O 0.000 0.000 0.500

---

2 | CaFeP2O: optimized geometry, PBE with a Hubbard U.

Values from the calculation:
- Symmetry: No. 123
- Volume: 88.9 Å³/f.u.

a b c (Å): 4.912 4.912 3.686
angles (deg): 90.00 90.00 90.00
Atoms (fractional coordinates):
Ca 0.500 0.500 0.500
P 0.500 0.000 0.000
P 0.000 0.500 0.000
O 0.000 0.000 0.500
Fe 0.000 0.000 0.000

---

It is 1 that is the least stable of them.

---

1 | CaVFeP4O14: optimized geometry, PBE with a Hubbard U.

Values from the calculation:
- Symmetry: No. 1
- Volume: 284.0 Å³/f.u.

a b c (Å): 4.995 7.069 8.369
angles (deg): 89.99 90.23 106.06
Atoms (fractional coordinates):
O 0.543 0.348 0.326
O 0.144 0.918 0.823
O 0.008 0.166 0.658
O 0.860 0.526 0.937
O 0.286 0.509 0.130
O 0.457 0.648 0.825
O 0.724 0.503 0.642
O 0.585 0.713 0.346
O 0.467 0.086 0.603
O 0.012 0.834 0.167
O 0.141 0.480 0.424
O 0.838 0.054 0.352
O 0.562 0.917 0.092
O 0.420 0.278 0.853
Ca 0.697 0.840 0.608
P 0.626 0.495 0.818
P 0.375 0.497 0.301
P 0.759 0.894 0.224
P 0.256 0.111 0.732
Fe 0.212 0.729 0.002
V 0.792 0.288 0.487

---

2 | CaVFeP4O14: optimized geometry, PBE with a Hubbard U.

Values from the calculation:
- Symmetry: No. 1
- Volume: 276.0 Å³/f.u.

a b c (Å): 4.908 7.189 8.180
angles (deg): 89.84 90.36 106.99
Atoms (fractional coordinates):
O 0.149 0.458 0.929
O 0.743 0.509 0.132
O 0.571 0.363 0.811
O 0.392 0.093 0.077
O 0.426 0.286 0.342
O 0.828 0.562 0.438
O 0.144 0.929 0.322
O 0.561 0.718 0.852
O 0.271 0.506 0.625
O 0.591 0.902 0.579
O 0.402 0.634 0.298
O 0.031 0.826 0.699
O 0.959 0.184 0.182
O 0.832 0.063 0.845
Ca 0.203 0.743 0.071
V 0.211 0.735 0.501
P 0.219 0.122 0.229
P 0.764 0.889 0.731
P 0.380 0.493 0.796
P 0.609 0.507 0.303
Fe 0.769 0.265 0.987

---

It is 1 that is the least stable of them.

---

1 | CaVFeP4O14: optimized geometry, PBE with a Hubbard U.

Values from the calculation:
- Symmetry: No. 1
- Volume: 283.6 Å³/f.u.

a b c (Å): 4.992 7.052 8.381
angles (deg): 91.05 89.85 105.98
Atoms (fractional coordinates):
O 0.552 0.355 0.825
O 0.456 0.084 0.098
O 0.721 0.498 0.142
O 0.998 0.167 0.160
O 0.136 0.917 0.318
O 0.149 0.479 0.930
O 0.416 0.276 0.352
O 0.283 0.507 0.633
O 0.008 0.832 0.672
O 0.561 0.918 0.594
O 0.837 0.061 0.853
O 0.859 0.522 0.437
O 0.456 0.645 0.327
O 0.581 0.720 0.849
Fe 0.795 0.292 0.984
P 0.755 0.895 0.727
P 0.248 0.109 0.228
P 0.624 0.490 0.318
P 0.376 0.498 0.803
V 0.211 0.728 0.502
Ca 0.687 0.841 0.114

---

2 | CaVFeP4O14: optimized geometry, PBE with a Hubbard U.

Values from the calculation:
- Symmetry: No. 1
- Volume: 293.6 Å³/f.u.

a b c (Å): 4.961 7.081 8.703
angles (deg): 84.81 86.07 74.84
Atoms (fractional coordinates):
P 0.270 0.881 0.759
P 0.777 0.130 0.304
P 0.597 0.494 0.689
P 0.357 0.501 0.199
V 0.202 0.286 0.519
O 0.358 0.395 0.675
O 0.140 0.482 0.093
O 0.447 0.922 0.883
O 0.027 0.805 0.824
O 0.845 0.957 0.202
O 0.495 0.670 0.157
O 0.581 0.120 0.444
O 0.467 0.727 0.646
O 0.262 0.494 0.372
O 0.699 0.464 0.851
O 0.056 0.174 0.337
O 0.824 0.436 0.560
O 0.605 0.300 0.181
O 0.169 0.066 0.647
Fe 0.814 0.663 0.973
Ca 0.341 0.007 0.128

---

It is 2 that is the least stable of them.